Below is a relaxed Cs3NdCu2Br9 crystal, with properties calculated at the PBE level.

abc: 7.7742 7.7742 9.6302
angles: 90.00 90.00 120.00
Last column: nearest neighbours and their distance in Å.
Space group P-3m1 (No. 164)
Unique sites:
Cs 0.0000 0.0000 0.0000  12 Br 3.89-3.90
Cs 0.3333 0.6667 0.6773  12 Br 3.83-4.02
Nd 0.0000 0.0000 0.5000  6 Br 2.88
Cu 0.3333 0.6667 0.1327  6 Br 2.58-2.84
Br 0.0000 0.5000 0.0000  2 Cu 2.58
Br 0.1737 0.3474 0.3247  1 Cu 2.84, 1 Nd 2.88

Computed properties:
The calculation puts the uncorrected formation energy at -1.306 eV/atom.

Below is a relaxed K3Fe2Se4 crystal, with properties calculated at the PBE level.

abc: 7.5131 11.1521 12.2944
angles: 90.00 90.00 90.00
Last column: nearest neighbours and their distance in Å.
Space group Pnma (No. 62)
Unique sites:
K 0.0789 0.0692 0.1356  6 Se 3.27-3.62
K 0.0898 0.2500 0.7609  6 Se 3.24-3.39
Fe 0.0547 0.1332 0.4709  4 Se 2.39-2.46, 1 Fe 2.61
Se 0.0830 0.7500 0.6692  2 Fe 2.39
Se 0.1527 0.5558 0.3916  2 Fe 2.44-2.46
Se 0.1909 0.7500 0.0341  2 Fe 2.44

Computed properties:
The calculation puts the uncorrected formation energy at -0.761 eV/atom.

Below is a relaxed Cd2OsC6N6 crystal, with properties calculated at the PBE level.

abc: 6.4535 6.4535 6.6549
angles: 90.00 90.00 120.00
Last column: nearest neighbours and their distance in Å.
Space group P-31m (No. 162)
Unique sites:
Cd 0.3333 0.6667 0.0000  6 N 2.39
Os 0.0000 0.0000 0.5000  6 C 2.01
C 0.0000 0.2470 0.6848  1 N 1.19
N 0.0000 0.3824 0.8053  1 C 1.19

Computed properties:
The calculation puts the uncorrected formation energy at 0.177 eV/atom.

Below is a relaxed Sm4CuCBr2 crystal, with properties calculated at the PBE level.

abc: 7.0599 3.8838 7.6011
angles: 90.00 106.91 90.00
Last column: nearest neighbours and their distance in Å.
Space group P2/m (No. 10)
Unique sites:
Sm 0.2038 0.0000 0.1877  2 C 2.58, 1 Cu 2.85
Sm 0.2428 0.5000 0.8026  1 C 2.59, 2 Cu 2.78
Cu 0.5000 0.0000 0.0000  6 Sm 2.78-2.85
C 0.0000 0.5000 0.0000  6 Sm 2.58-2.59
Br 0.0000 0.0000 0.5000  6 Sm 3.11-3.12
Br 0.5000 0.5000 0.5000  6 Sm 3.30-3.32

Computed properties:
The calculation puts the uncorrected formation energy at -0.716 eV/atom.

Below is a relaxed Y3ZnF crystal, with properties calculated at the PBE level.

abc: 4.8207 4.8207 4.8207
angles: 90.00 90.00 90.00
Last column: nearest neighbours and their distance in Å.
Space group Pm-3m (No. 221)
Unique sites:
Y 0.0000 0.0000 0.5000  2 F 2.41
Zn 0.5000 0.5000 0.5000  12 Y 3.41
F 0.0000 0.0000 0.0000  6 Y 2.41

Computed properties:
The calculation puts the uncorrected formation energy at -0.897 eV/atom.

Below is a relaxed Hf7Ga5 crystal, with properties calculated at the PBE level.

abc: 12.2663 4.0998 10.5090
angles: 90.00 117.02 90.00
Last column: nearest neighbours and their distance in Å.
Space group C2/m (No. 12)
Unique sites:
Hf 0.0000 0.0000 0.0000  6 Ga 2.97-3.16, 4 Hf 3.08
Hf 0.0868 0.5000 0.2447  3 Ga 2.77-2.91, 4 Hf 3.08-3.10
Hf 0.1095 0.0000 0.7578  5 Ga 2.83-2.93, 4 Hf 3.11-3.15
Hf 0.1555 0.0000 0.4905  5 Ga 2.83-2.95, 7 Hf 3.03-3.12
Ga 0.0000 0.5000 0.5000  8 Hf 2.83-3.17, 2 Ga 2.86
Ga 0.1656 0.5000 0.9780  2 Ga 2.80, 6 Hf 2.89-2.97
Ga 0.2491 0.5000 0.7168  7 Hf 2.77-2.95, 1 Ga 2.86

Computed properties:
The calculation puts the formation energy from the elements at -282 meV/atom.

Below is a relaxed Li4CdOs crystal, with properties calculated at the PBE level.

abc: 6.9592 6.9592 6.9592
angles: 90.00 90.00 90.00
Last column: nearest neighbours and their distance in Å.
Space group F-43m (No. 216)
Unique sites:
Li 0.1224 0.1224 0.1224  6 Li 2.41-2.51
Cd 0.0000 0.0000 0.5000  12 Li 2.89, 4 Os 3.01
Os 0.2500 0.2500 0.7500  12 Li 2.88, 4 Cd 3.01

Computed properties:
The calculation puts the formation energy from the elements at 290 meV/atom.

Below is a relaxed Be2GaAs crystal, with properties calculated at the PBE level.

abc: 5.7893 5.7893 8.4934
angles: 90.00 90.00 90.00
Last column: nearest neighbours and their distance in Å.
Space group I-42d (No. 122)
Unique sites:
Be 0.2101 0.2500 0.1250  2 As 2.17
Ga 0.0000 0.0000 0.5000  4 Be 2.46
As 0.0000 0.0000 0.0000  4 Be 2.17

Computed properties:
The calculation puts the formation energy from the elements at 363 meV/atom.

Values for density of states at the Fermi level, states/eV per cell, ordered as above
4.05; 19.60; 0.00; 6.54; 4.18; 16.16; 5.50; 4.91
Values for V, Å³/cell, ordered as above
504.1; 1030.1; 240.0; 199.4; 112.0; 470.8; 337.0; 284.7
Values for spin magnetization, μB/cell, ordered as above
0.99; 30.74; 0.00; 0.00; 0.00; 0.00; 0.00; 0.00